The following is a DFT calculation (PBE) of a geometry-optimized Ce2AlPdS5 structure.

Output
**Raw formation energy**: -1415.1 meV per atom
**M_tot**: 2.03 μB per cell

Lattice parameters (Å, degrees): 3.875 8.692 11.283 90.00 90.00 102.88
Fractional coordinates of all 18 atoms:
S  0.494  0.988  0.278
S  0.313  0.626  0.349
S  0.687  0.374  0.849
S  0.628  0.256  0.488
S  0.372  0.744  0.988
S  0.298  0.596  0.667
S  0.042  0.083  0.055
S  0.506  0.012  0.778
S  0.702  0.404  0.167
S  0.958  0.917  0.555
Ce  0.874  0.748  0.176
Ce  0.128  0.256  0.298
Ce  0.126  0.252  0.676
Ce  0.872  0.744  0.798
Al  0.575  0.149  0.954
Al  0.425  0.851  0.454
Pd  0.757  0.515  0.559
Pd  0.243  0.485  0.059